{"formula": "PmPuSbI", "functional": "PBE", "state": "optimized geometry", "lattice_angstrom": [[7.7411, 0.0000, 0.0000], [0.0000, 7.7411, 0.0000], [0.0000, 0.0000, 7.7411]], "species": ["Pm", "Pm", "Pm", "Pm", "Pu", "Pu", "Pu", "Pu", "Sb", "Sb", "Sb", "Sb", "I", "I", "I", "I"], "fractional_positions": [[0.0000, 0.0000, 0.0000], [0.0000, 0.5000, 0.5000], [0.5000, 0.0000, 0.5000], [0.5000, 0.5000, 0.0000], [0.0000, 0.0000, 0.5000], [0.0000, 0.5000, 0.0000], [0.5000, 0.0000, 0.0000], [0.5000, 0.5000, 0.5000], [0.2500, 0.2500, 0.2500], [0.2500, 0.7500, 0.7500], [0.7500, 0.2500, 0.7500], [0.7500, 0.7500, 0.2500], [0.2500, 0.2500, 0.7500], [0.2500, 0.7500, 0.2500], [0.7500, 0.2500, 0.2500], [0.7500, 0.7500, 0.7500]], "dos_at_fermi_per_ev_fu": 7.6, "mass_density_g_cm3": 9.13, "m_tot_mub_per_fu": 6.82, "raw_formation_energy_ev_per_fu": -3.05, "energy_ev_per_cell": -111.2, "sg": "F-43m"}